(1)
# PBE ScAlTe2Ru, relaxed
# total energy = -24.8 eV/f.u.
# formation energy without anion corrections = 166 meV/atom
data_ScAlTe2Ru
_chemical_formula_sum 'Sc1 Al1 Te2 Ru1'
_cell_length_a 5.294
_cell_length_b 5.294
_cell_length_c 4.745
_cell_angle_alpha 90.00
_cell_angle_beta 90.00
_cell_angle_gamma 90.00
_space_group_name_H-M_alt 'P 4/m m m'
_space_group_IT_number 123
_space_group_name_Hall '-P 4 2'
loop_
_atom_site_label
_atom_site_fract_x
_atom_site_fract_y
_atom_site_fract_z
Sc1 0.000 0.000 0.000
Al1 0.500 0.500 0.000
Te1 0.000 0.500 0.500
Ru1 0.000 0.000 0.500

---

(2)
# PBE TaAsOs2, relaxed
# total energy = -38.8 eV/f.u.
data_TaAsOs2
_chemical_formula_sum 'Ta1 As1 Os2'
_cell_length_a 3.014
_cell_length_b 3.014
_cell_length_c 6.805
_cell_angle_alpha 90.00
_cell_angle_beta 90.00
_cell_angle_gamma 90.00
_space_group_name_H-M_alt 'P 4/m m m'
_space_group_IT_number 123
_space_group_name_Hall '-P 4 2'
loop_
_atom_site_label
_atom_site_fract_x
_atom_site_fract_y
_atom_site_fract_z
Ta1 0.000 0.000 0.000
As1 0.000 0.000 0.500
Os1 0.500 0.500 0.269

---

(3)
# PBE AlFeH2, relaxed
# total energy = -18.5 eV/f.u.
# E above lowest polymorph = 68 meV per atom
data_AlFeH2
_chemical_formula_sum 'Al3 Fe3 H6'
_cell_length_a 2.8533
_cell_length_b 2.8533
_cell_length_c 13.1991
_cell_angle_alpha 90.00
_cell_angle_beta 90.00
_cell_angle_gamma 120.00
_space_group_name_H-M_alt 'R -3 m'
_space_group_IT_number 166
_space_group_name_Hall '-R 3 2"'
loop_
_atom_site_label
_atom_site_fract_x
_atom_site_fract_y
_atom_site_fract_z
Al1 0.0000 0.0000 0.0000
Fe1 0.0000 0.0000 0.5000
H1 0.0000 0.0000 0.1378